The following is a GGA-PBE calculation of an optimized crystal structure of ZrICl3, from Alexandria.

**E_tot**: -4.13 eV/atom
**Total magnetic moment**: 0.0 Bohr magnetons per cell

abc: 5.125 5.125 5.125
angles: 90.00 90.00 90.00
Element x y z (fractional)
1 Zr 0.000 0.000 0.000
2 I 0.500 0.500 0.500
3 Cl 0.000 0.000 0.500
4 Cl 0.000 0.500 0.000
5 Cl 0.500 0.000 0.000



The following is a GGA-PBE calculation of an optimized crystal structure of Zr2ICl, from Alexandria.

**E_tot**: -5.22 eV/atom
**Total magnetic moment**: 1.0 Bohr magnetons per cell

abc: 4.937 4.937 4.937
angles: 60.00 60.00 60.00
Element x y z (fractional)
1 Zr 0.250 0.250 0.250
2 Zr 0.750 0.750 0.750
3 I 0.000 0.000 0.000
4 Cl 0.500 0.500 0.500



The following is a GGA-PBE calculation of an optimized crystal structure of Zr2ICl, from Alexandria.

**E_tot**: -5.32 eV/atom
**Total magnetic moment**: 2.4 Bohr magnetons per cell

abc: 9.712 9.712 9.712
angles: 151.86 151.86 40.22
Element x y z (fractional)
1 Zr 0.094 0.625 0.969
2 Zr 0.375 0.344 0.469
3 Zr 0.656 0.125 0.031
4 Zr 0.875 0.906 0.531
5 I 0.250 0.750 0.500
6 I 0.500 0.500 0.000
7 Cl 0.000 0.000 0.000
8 Cl 0.750 0.250 0.500